A plane-wave DFT calculation with PBE was carried out for an optimized crystal structure of Y5Ho2TmSc.

Calculated values
Its density of states at the Fermi level is 16.0 states/eV/f.u. As for the energy relative to the elements: 0.159 eV/atom.

Lattice parameters (Å, degrees): 5.5627 10.8431 9.7485 90.00 90.00 104.86
Closest atoms and distances in Å follow each position.
Element x y z (fractional)
Y: 0.3613 0.7227 0.0328  4 Ho 3.32-3.56, 1 Y 3.39, 1 Sc 3.68
Y: 0.7497 0.4994 0.8689  1 Tm 3.07, 1 Ho 3.08, 2 Y 3.41, 2 Sc 3.44
Y: 0.4827 0.9653 0.7322  2 Tm 3.19-3.51, 2 Ho 3.44, 2 Y 3.56
Y: 0.3061 0.6122 0.7062  2 Sc 3.31, 1 Tm 3.31, 4 Y 3.39-3.49, 2 Ho 3.51
Y: 0.9782 0.9564 0.5039  4 Ho 3.23-3.60, 2 Tm 3.38, 1 Sc 3.45, 2 Y 3.56
Y: 0.6387 0.2773 0.5328  4 Ho 3.32-3.56, 1 Y 3.39, 1 Sc 3.68
Y: 0.2503 0.5006 0.3689  1 Tm 3.07, 1 Ho 3.08, 2 Y 3.41, 2 Sc 3.44
Y: 0.5173 0.0347 0.2322  2 Tm 3.19-3.51, 2 Ho 3.44, 2 Y 3.56
Y: 0.6939 0.3878 0.2062  2 Sc 3.31, 1 Tm 3.31, 4 Y 3.39-3.49, 2 Ho 3.51
Y: 0.0218 0.0436 0.0039  4 Ho 3.23-3.60, 2 Tm 3.38, 1 Sc 3.45, 2 Y 3.56
Ho: 0.8947 0.7893 0.8162  4 Y 3.08-3.44, 1 Sc 3.31
Ho: 0.1194 0.2389 0.7145  1 Sc 3.32, 4 Y 3.32-3.60, 2 Tm 3.47
Ho: 0.1053 0.2107 0.3162  4 Y 3.08-3.44, 1 Sc 3.31
Ho: 0.8806 0.7611 0.2145  1 Sc 3.32, 4 Y 3.32-3.60, 2 Tm 3.47
Tm: 0.6054 0.2108 0.9255  5 Y 3.07-3.38, 2 Sc 3.39
Tm: 0.3946 0.7892 0.4255  5 Y 3.07-3.38, 2 Sc 3.39
Sc: 0.8141 0.6282 0.5238  7 Y 3.31-3.68, 2 Ho 3.31-3.32, 2 Tm 3.39
Sc: 0.1859 0.3718 0.0238  7 Y 3.31-3.68, 2 Ho 3.31-3.32, 2 Tm 3.39